[1]
The following is a DFT calculation (PBE) of an optimized crystal structure of Cs2CaTcBr6.

Computed properties:
As for the density of states at the Fermi level: 9.61 states/eV/f.u. As for the uncorrected formation energy: -1.255 eV/atom. The calculation puts the volume at 332 Å³/f.u.

Structure (POSCAR):
```
Cs2CaTcBr6
1.0
0.000 5.498 5.498
5.498 0.000 5.498
5.498 5.498 0.000
Cs Ca Tc Br
2 1 1 6
Cartesian
2.749 2.749 2.749
8.247 8.247 8.247
0.000 0.000 0.000
5.498 5.498 5.498
5.498 5.498 2.888
5.498 2.888 5.498
8.108 5.498 5.498
2.888 5.498 5.498
5.498 8.108 5.498
5.498 5.498 8.108
```

=====

[2]
The following is a DFT calculation (PBE) of an optimized crystal structure of K2MoAs.

Computed properties:
As for the density of states at the Fermi level: 3.05 states/eV/f.u. Its formation energy is 0.80 eV per atom. The calculation puts the volume at 95 Å³/f.u.

Structure (POSCAR):
```
K2MoAs
1.0
2.032 -2.043 0.000
2.032 2.043 0.000
0.000 0.000 11.455
K Mo As
2 1 1
Cartesian
0.000 0.000 2.628
0.000 0.000 8.827
2.032 0.000 5.728
2.032 0.000 0.000
```

=====

[3]
The following is a DFT calculation (PBE) of an optimized crystal structure of SrNbCl2.

Computed properties:
As for the density of states at the Fermi level: 3.36 states/eV/f.u. As for the uncorrected formation energy: -0.266 eV/atom. As for the relative energy among the computed polymorphs: 293 meV per atom. The calculation puts the volume at 84 Å³/f.u.

Structure (POSCAR):
```
SrNbCl2
1.0
0.000 3.479 3.479
3.479 0.000 3.479
3.479 3.479 0.000
Sr Nb Cl
1 1 2
Cartesian
0.000 0.000 0.000
3.479 3.479 3.479
1.740 1.740 1.740
5.219 5.219 5.219
```

=====

[4]
The following is a DFT calculation (PBE) of an optimized crystal structure of Ca3Ge2Pt6.

Computed properties:
As for the density of states at the Fermi level: 4.02 states/eV/f.u. Its formation energy is -0.82 eV per atom. The calculation puts the volume at 220 Å³/f.u.

Structure (POSCAR):
```
Ca3Ge2Pt6
1.0
-4.790 4.790 4.790
4.790 -4.790 4.790
4.790 4.790 -4.790
Ca Ge Pt
6 4 12
Cartesian
2.901 0.000 0.000
6.680 0.000 0.000
0.000 2.901 0.000
0.000 0.000 2.901
0.000 6.680 0.000
0.000 0.000 6.680
2.395 2.395 -2.395
2.395 -2.395 2.395
-2.395 2.395 2.395
2.395 2.395 2.395
4.790 1.751 -1.751
4.790 -1.751 1.751
1.751 4.790 -1.751
3.040 3.040 0.000
3.040 0.000 3.040
1.751 -1.751 4.790
4.790 1.751 1.751
0.000 3.040 3.040
-1.751 4.790 1.751
-1.751 1.751 4.790
1.751 4.790 1.751
1.751 1.751 4.790
```

=====

[5]
The following is a DFT calculation (PBE) of an optimized crystal structure of BeSeF2.

Computed properties:
As for the density of states at the Fermi level: 1.06 states/eV/f.u. As for the uncorrected formation energy: -1.576 eV/atom. As for the relative energy among the computed polymorphs: 445 meV per atom. The calculation puts the volume at 77 Å³/f.u.

Structure (POSCAR):
```
BeSeF2
1.0
1.483 0.856 10.124
-1.483 0.856 10.124
0.000 -1.712 10.124
Be Se F
1 1 2
Cartesian
0.000 0.000 0.000
0.000 0.000 15.186
0.000 0.000 1.371
0.000 0.000 29.000
```

=====

[6]
The following is a DFT calculation (PBE) of an optimized crystal structure of Tb2SmHo6Tm3.

Computed properties:
As for the density of states at the Fermi level: 16.24 states/eV/f.u. Its formation energy is 0.02 eV per atom. The calculation puts the volume at 372 Å³/f.u.

Structure (POSCAR):
```
Tb2SmHo6Tm3
1.0
3.057 -5.289 0.000
3.057 5.289 0.000
-2.029 0.000 11.511
Tb Sm Ho Tm
2 1 6 3
Cartesian
3.057 3.526 0.000
3.057 -3.526 0.000
3.057 0.000 0.000
0.001 1.764 8.602
1.025 0.000 2.909
0.001 -1.764 8.602
4.085 1.764 2.909
3.062 0.000 8.603
4.085 -1.764 2.909
-1.014 0.000 5.756
2.043 1.764 5.756
2.043 -1.764 5.756
```

=====

[7]
The following is a DFT calculation (PBE) of an optimized crystal structure of CsMnFeCl6.

Computed properties:
As for the density of states at the Fermi level: 1.46 states/eV/f.u. As for the uncorrected formation energy: -1.175 eV/atom. The calculation puts the volume at 282 Å³/f.u.

Structure (POSCAR):
```
CsMnFeCl6
1.0
3.178 -5.715 0.000
3.178 5.715 0.000
-0.270 0.000 7.775
Cs Mn Fe Cl
1 1 1 6
Cartesian
0.000 0.000 0.000
3.043 1.887 3.888
3.043 -1.792 3.888
1.127 2.142 2.499
2.181 -0.062 5.251
1.184 -2.178 2.473
4.958 2.142 5.276
3.905 -0.062 2.524
4.902 -2.178 5.302
```

=====

[8]
The following is a DFT calculation (PBE) of an optimized crystal structure of AcTbTh2As4.

Computed properties:
As for the density of states at the Fermi level: 4.14 states/eV/f.u. Its formation energy is -1.43 eV per atom. The calculation puts the volume at 225 Å³/f.u.

Structure (POSCAR):
```
AcTbTh2As4
1.0
7.446 0.000 0.000
0.000 4.301 0.000
-2.487 0.000 7.024
Ac Tb Th As
1 1 2 4
Cartesian
0.000 0.000 0.000
-1.244 2.151 3.512
2.479 0.000 3.512
3.723 2.151 0.000
0.038 0.000 5.212
1.286 2.151 1.846
3.672 2.151 5.178
4.920 0.000 1.812
```

=====

[9]
The following is a DFT calculation (PBE) of an optimized crystal structure of Nb6OsRh5.

Computed properties:
As for the density of states at the Fermi level: 11.30 states/eV/f.u. Its formation energy is -0.37 eV per atom. The calculation puts the volume at 193 Å³/f.u.

Structure (POSCAR):
```
Nb6OsRh5
1.0
-2.043 3.839 6.150
2.043 -3.839 6.150
2.043 3.839 -6.150
Nb Os Rh
6 1 5
Cartesian
2.043 1.900 -2.039
0.000 1.880 0.000
2.043 1.900 2.039
0.000 1.939 4.111
0.000 5.798 0.000
0.000 1.939 8.189
2.043 0.000 0.000
0.000 0.000 2.101
2.043 0.000 4.116
0.000 0.000 6.150
0.000 3.839 2.034
0.000 0.000 10.199
```

=====

[10]
The following is a DFT calculation (PBE) of an optimized crystal structure of CaHoSc2S4.

Computed properties:
As for the density of states at the Fermi level: 3.18 states/eV/f.u. As for the uncorrected formation energy: -1.941 eV/atom. The calculation puts the volume at 157 Å³/f.u.

Structure (POSCAR):
```
CaHoSc2S4
1.0
6.613 0.000 0.000
0.000 3.798 0.000
-2.169 0.000 6.249
Ca Ho Sc S
1 1 2 4
Cartesian
0.000 0.000 0.000
-1.084 1.899 3.124
2.222 0.000 3.124
3.307 1.899 0.000
0.114 0.000 4.706
1.202 1.899 1.610
3.243 1.899 4.639
4.331 0.000 1.542
```